Entry 1:
A plane-wave DFT calculation with PBE was carried out for crystalline MnNiCl at its relaxed geometry.

Structure (CIF):
```
data_MnNiCl
_chemical_formula_sum 'Mn3 Ni3 Cl3'
_cell_length_a 3.1344
_cell_length_b 3.1344
_cell_length_c 17.0556
_cell_angle_alpha 90.00
_cell_angle_beta 90.00
_cell_angle_gamma 120.00
_symmetry_space_group_name_H-M 'R 3 m'
_symmetry_Int_Tables_number 160
_symmetry_space_group_name_Hall 'R 3 -2"'
loop_
_atom_site_label
_atom_site_type_symbol
_atom_site_fract_x
_atom_site_fract_y
_atom_site_fract_z
Mn1 Mn 0.0000 0.0000 0.0000
Ni1 Ni 0.0000 0.0000 0.4305
Cl1 Cl 0.0000 0.0000 0.5663
```

Results
ρ, g cm⁻³: 5.1
Formation energy (no corrections), kJ/mol of atoms: -3.4
Magnetization, Bohr magnetons per cell: 13.7
Crystal system: trigonal

---

Entry 2:
A plane-wave DFT calculation with PBE was carried out for crystalline RbBaH at its relaxed geometry.

Structure (CIF):
```
data_RbBaH
_chemical_formula_sum 'Rb1 Ba1 H1'
_cell_length_a 4.5159
_cell_length_b 4.5159
_cell_length_c 7.6815
_cell_angle_alpha 90.00
_cell_angle_beta 90.00
_cell_angle_gamma 120.00
_symmetry_space_group_name_H-M 'P 3 m 1'
_symmetry_Int_Tables_number 156
loop_
_symmetry_equiv_pos_as_xyz
'x,y,z'
'-y,x-y,z'
'-x+y,-x,z'
'-y,-x,z'
'-x+y,y,z'
'x,x-y,z'
loop_
_atom_site_label
_atom_site_type_symbol
_atom_site_fract_x
_atom_site_fract_y
_atom_site_fract_z
Rb1 Rb 0.0000 0.0000 0.0000
Ba1 Ba 0.6667 0.3333 0.4744
H1 H 0.0000 0.0000 0.4039
```

Results
ρ, g cm⁻³: 2.7
DFT total energy, eV per atom: -2.174
Magnetization, Bohr magnetons per cell: 0.5
Crystal system: trigonal

---

Entry 3:
A plane-wave DFT calculation with PBE was carried out for crystalline SbSe2O at its relaxed geometry.

Structure (CIF):
```
data_SbSe2O
_chemical_formula_sum 'Sb3 Se6 O3'
_cell_length_a 3.1382
_cell_length_b 3.1382
_cell_length_c 26.9226
_cell_angle_alpha 90.00
_cell_angle_beta 90.00
_cell_angle_gamma 120.00
_symmetry_space_group_name_H-M 'R -3 m'
_symmetry_Int_Tables_number 166
_symmetry_space_group_name_Hall '-R 3 2"'
loop_
_atom_site_label
_atom_site_type_symbol
_atom_site_fract_x
_atom_site_fract_y
_atom_site_fract_z
Sb1 Sb 0.0000 0.0000 0.0000
Se1 Se 0.0000 0.0000 0.1053
O1 O 0.0000 0.0000 0.5000
```

Results
ρ, g cm⁻³: 6.4
Formation energy (no corrections), kJ/mol of atoms: 47.0
Magnetization, Bohr magnetons per cell: 0.0
Crystal system: trigonal

---

Entry 4:
A plane-wave DFT calculation with PBE was carried out for crystalline LaFeOs2 at its relaxed geometry.

Structure (CIF):
```
data_LaFeOs2
_chemical_formula_sum 'La4 Fe4 Os8'
_cell_length_a 6.5602
_cell_length_b 6.5602
_cell_length_c 6.5602
_cell_angle_alpha 90.00
_cell_angle_beta 90.00
_cell_angle_gamma 90.00
_symmetry_space_group_name_H-M 'F m -3 m'
_symmetry_Int_Tables_number 225
_symmetry_space_group_name_Hall '-F 4 2 3'
loop_
_atom_site_label
_atom_site_type_symbol
_atom_site_fract_x
_atom_site_fract_y
_atom_site_fract_z
La1 La 0.0000 0.0000 0.0000
Fe1 Fe 0.0000 0.0000 0.5000
Os1 Os 0.2500 0.2500 0.2500
```

Results
ρ, g cm⁻³: 13.5
ΔH_f (0 K), eV/f.u.: 2.775
Magnetization, Bohr magnetons per cell: 17.1
Crystal system: cubic

---

Entry 5:
A plane-wave DFT calculation with PBE was carried out for crystalline MnMoIr2 at its relaxed geometry.

Structure (CIF):
```
data_MnMoIr2
_chemical_formula_sum 'Mn4 Mo4 Ir8'
_cell_length_a 6.1721
_cell_length_b 6.1721
_cell_length_c 6.1721
_cell_angle_alpha 90.00
_cell_angle_beta 90.00
_cell_angle_gamma 90.00
_symmetry_space_group_name_H-M 'F -4 3 m'
_symmetry_Int_Tables_number 216
_symmetry_space_group_name_Hall 'F -4 2 3'
loop_
_atom_site_label
_atom_site_type_symbol
_atom_site_fract_x
_atom_site_fract_y
_atom_site_fract_z
Mn1 Mn 0.0000 0.0000 0.0000
Mo1 Mo 0.2500 0.2500 0.7500
Ir1 Ir 0.0000 0.0000 0.5000
Ir2 Ir 0.2500 0.2500 0.2500
```

Results
ρ, g cm⁻³: 15.1
ΔH_f (0 K), eV/f.u.: 0.540
Magnetization, Bohr magnetons per cell: 11.2
Crystal system: cubic

---

Entry 6:
A plane-wave DFT calculation with PBE was carried out for crystalline Zn2GaAg6 at its relaxed geometry.

Structure (CIF):
```
data_Zn2GaAg6
_chemical_formula_sum 'Zn8 Ga4 Ag24'
_cell_length_a 12.7233
_cell_length_b 9.4774
_cell_length_c 5.1497
_cell_angle_alpha 90.00
_cell_angle_beta 93.95
_cell_angle_gamma 90.00
_symmetry_space_group_name_H-M 'C 1 2/c 1'
_symmetry_Int_Tables_number 15
loop_
_symmetry_equiv_pos_as_xyz
'x,y,z'
'-x,-y,-z'
'-x,y,-z+1/2'
'x,-y,z+1/2'
'x+1/2,y+1/2,z'
'-x+1/2,-y+1/2,-z'
'-x+1/2,y+1/2,-z+1/2'
'x+1/2,-y+1/2,z+1/2'
loop_
_atom_site_label
_atom_site_type_symbol
_atom_site_fract_x
_atom_site_fract_y
_atom_site_fract_z
Zn1 Zn 0.1667 0.1122 0.0848
Ga1 Ga 0.0000 0.3876 0.2500
Ag1 Ag 0.0521 0.1324 0.5101
Ag2 Ag 0.1160 0.3646 0.8216
Ag3 Ag 0.2204 0.3662 0.3413
```

Results
ρ, g cm⁻³: 9.1
ΔH_f (0 K), eV/f.u.: 0.121
Magnetization, Bohr magnetons per cell: 0.0
Crystal system: monoclinic